Entry 1:
Material: Pa2Sb2PRu4
Method: DFT, PBE
State: optimized geometry

Computed properties:
Uncorrected formation energy   -23.2 kJ per mole of atoms
Total DFT energy (no corrections)   -7.99 eV per atom
Space group   I4/mmm
Spin magnetization   0.00 μB/f.u.

Cell: 6.3114 6.3114 6.3114 Å, 88.44 120.90 120.90°
Sites, in units of the cell vectors:
Pa (0.0000, 0.6999, 0.6999)
Pa (0.0000, 0.3001, 0.3001)
Sb (0.5000, 0.7500, 0.2500)
Sb (0.5000, 0.2500, 0.7500)
P (0.0000, 0.0000, 0.0000)
Ru (0.0000, 0.7336, 0.2664)
Ru (0.4671, 0.7336, 0.7336)
Ru (0.0000, 0.2664, 0.7336)
Ru (0.5329, 0.2664, 0.2664)

***

Entry 2:
Material: PaSbP2Ru5
Method: DFT, PBE
State: optimized geometry

Computed properties:
Uncorrected formation energy   -26.1 kJ per mole of atoms
Total DFT energy (no corrections)   -8.14 eV per atom
Space group   P4/mmm
Spin magnetization   0.00 μB/f.u.

Cell: 4.0408 4.0408 10.0299 Å, 90.00 90.00 90.00°
Sites, in units of the cell vectors:
Pa (0.0000, 0.0000, 0.5000)
Sb (0.0000, 0.0000, 0.0000)
P (0.5000, 0.5000, 0.2725)
P (0.5000, 0.5000, 0.7275)
Ru (0.0000, 0.5000, 0.1705)
Ru (0.5000, 0.0000, 0.1705)
Ru (0.0000, 0.5000, 0.8295)
Ru (0.5000, 0.0000, 0.8295)
Ru (0.5000, 0.5000, 0.5000)

***

Entry 3:
Material: PaPRuSe
Method: DFT, PBE
State: optimized geometry

Computed properties:
Uncorrected formation energy   -95.6 kJ per mole of atoms
Total DFT energy (no corrections)   -7.91 eV per atom
Space group   P4/nmm
Spin magnetization   0.00 μB/f.u.

Cell: 4.1152 4.1152 8.7898 Å, 90.00 90.00 90.00°
Sites, in units of the cell vectors:
Pa (0.5000, 0.0000, 0.7366)
Pa (0.0000, 0.5000, 0.2634)
P (0.0000, 0.5000, 0.8532)
P (0.5000, 0.0000, 0.1468)
Ru (0.5000, 0.5000, 0.0000)
Ru (0.0000, 0.0000, 0.0000)
Se (0.0000, 0.0000, 0.5000)
Se (0.5000, 0.5000, 0.5000)

***

Entry 4:
Material: PaSiP2Ru5
Method: DFT, PBE
State: optimized geometry

Computed properties:
Uncorrected formation energy   -42.3 kJ per mole of atoms
Total DFT energy (no corrections)   -8.45 eV per atom
Space group   P4/mmm
Spin magnetization   0.00 μB/f.u.

Cell: 4.0309 4.0309 9.4007 Å, 90.00 90.00 90.00°
Sites, in units of the cell vectors:
Pa (0.0000, 0.0000, 0.5000)
Si (0.0000, 0.0000, 0.0000)
P (0.5000, 0.5000, 0.2580)
P (0.5000, 0.5000, 0.7420)
Ru (0.0000, 0.5000, 0.1482)
Ru (0.5000, 0.0000, 0.1482)
Ru (0.0000, 0.5000, 0.8518)
Ru (0.5000, 0.0000, 0.8518)
Ru (0.5000, 0.5000, 0.5000)

***

Entry 5:
Material: Pa2SiPRu6
Method: DFT, PBE
State: optimized geometry

Computed properties:
Uncorrected formation energy   -44.0 kJ per mole of atoms
Total DFT energy (no corrections)   -9.00 eV per atom
Space group   Pmmn
Spin magnetization   0.00 μB/f.u.

Cell: 6.9350 5.6553 8.6272 Å, 90.00 90.00 90.00°
Sites, in units of the cell vectors:
Pa (0.5000, 0.7480, 0.2522)
Pa (0.0000, 0.2520, 0.7522)
Pa (0.5000, 0.7480, 0.7478)
Pa (0.0000, 0.2520, 0.2478)
Si (0.0000, 0.6239, 0.5000)
Si (0.5000, 0.3761, 0.0000)
P (0.5000, 0.1244, 0.5000)
P (0.0000, 0.8756, 0.0000)
Ru (0.5000, 0.2442, 0.2519)
Ru (0.5000, 0.2442, 0.7481)
Ru (0.0000, 0.7558, 0.2481)
Ru (0.0000, 0.7558, 0.7519)
Ru (0.2012, 0.9868, 0.5000)
Ru (0.7988, 0.9868, 0.5000)
Ru (0.3039, 0.4831, 0.5000)
Ru (0.6961, 0.4831, 0.5000)
Ru (0.8039, 0.5169, 0.0000)
Ru (0.1961, 0.5169, 0.0000)
Ru (0.2988, 0.0132, 0.0000)
Ru (0.7012, 0.0132, 0.0000)

***

Entry 6:
Material: PaSnP2Ru5
Method: DFT, PBE
State: optimized geometry

Computed properties:
ΔH_f (0 K)   -4.77 eV per formula unit
Total DFT energy (no corrections)   -8.39 eV per atom
Space group   P4/mmm
Spin magnetization   0.59 μB/f.u.

Cell: 4.0995 4.0995 8.4258 Å, 90.00 90.00 90.00°
Sites, in units of the cell vectors:
Pa (0.0000, 0.0000, 0.0000)
Sn (0.0000, 0.0000, 0.5000)
P (0.5000, 0.5000, 0.1395)
P (0.5000, 0.5000, 0.8605)
Ru (0.0000, 0.5000, 0.2681)
Ru (0.5000, 0.0000, 0.2681)
Ru (0.0000, 0.5000, 0.7319)
Ru (0.5000, 0.0000, 0.7319)
Ru (0.5000, 0.5000, 0.5000)

***

Entry 7:
Material: Pa3TaP2Ru9
Method: DFT, PBE
State: optimized geometry

Computed properties:
ΔH_f (0 K)   -2.75 eV per formula unit
Total DFT energy (no corrections)   -9.16 eV per atom
Space group   P-3m1
Spin magnetization   0.00 μB/f.u.

Cell: 5.8811 5.8811 9.1912 Å, 90.00 90.00 120.00°
Sites, in units of the cell vectors:
Pa (0.3333, 0.6667, 0.6554)
Pa (0.0000, 0.0000, 0.0000)
Pa (0.6667, 0.3333, 0.3446)
Ta (0.0000, 0.0000, 0.5000)
P (0.3333, 0.6667, 0.1548)
P (0.6667, 0.3333, 0.8452)
Ru (0.8411, 0.1589, 0.7072)
Ru (0.8411, 0.6822, 0.7072)
Ru (0.3178, 0.1589, 0.7072)
Ru (0.6822, 0.8411, 0.2928)
Ru (0.1589, 0.3178, 0.2928)
Ru (0.1589, 0.8411, 0.2928)
Ru (0.5000, 0.0000, 0.0000)
Ru (0.0000, 0.5000, 0.0000)
Ru (0.5000, 0.5000, 0.0000)

***

Entry 8:
Material: PaTaP2Ru5
Method: DFT, PBE
State: optimized geometry

Computed properties:
ΔH_f (0 K)   -6.38 eV per formula unit
Total DFT energy (no corrections)   -9.44 eV per atom
Space group   P4/mmm
Spin magnetization   0.00 μB/f.u.

Cell: 4.0459 4.0459 8.4461 Å, 90.00 90.00 90.00°
Sites, in units of the cell vectors:
Pa (0.0000, 0.0000, 0.0000)
Ta (0.0000, 0.0000, 0.5000)
P (0.5000, 0.5000, 0.1394)
P (0.5000, 0.5000, 0.8606)
Ru (0.0000, 0.5000, 0.2722)
Ru (0.5000, 0.0000, 0.2722)
Ru (0.0000, 0.5000, 0.7278)
Ru (0.5000, 0.0000, 0.7278)
Ru (0.5000, 0.5000, 0.5000)